ZnSb2TeMo: optimized geometry, PBE.

Geometry as POSCAR:
```
ZnSb2TeMo
1.0
-5.001 1.059 1.377
-0.199 -4.518 2.752
1.715 2.533 4.282
Zn Mo Te Sb
1 1 1 2
Cartesian
-1.742 -0.463 4.205
0.000 0.000 0.000
0.858 1.266 2.141
-0.099 -2.259 1.376
-2.500 0.529 0.688
```

Values from the calculation:
Its space group is P4/mmm. For the energy above the most stable polymorph in this dataset, the calculation gives 0.0 meV per atom. The value obtained for the calculated volume is 29.493 Å³/atom. The uncorrected formation energy comes out at 533.7 meV per atom.